[1]
# ErHfRh2 | Alexandria via LeMat-Bulk | PBE-GGA | optimized geometry
# * energy relative to the elements: -0.88 eV/atom
# * DOS at the Fermi energy: 0.331 states/eV per atom
# * relative energy among the computed polymorphs: 0.047 eV per atom
data_ErHfRh2
_chemical_formula_sum 'Er4 Hf4 Rh8'
_space_group_name_H-M_alt 'F m -3 m'
_space_group_IT_number 225
_space_group_name_Hall '-F 4 2 3'
_cell_length_a 6.6586
_cell_length_b 6.6586
_cell_length_c 6.6586
_cell_angle_alpha 90.00
_cell_angle_beta 90.00
_cell_angle_gamma 90.00
loop_
_atom_site_label
_atom_site_type_symbol
_atom_site_fract_x
_atom_site_fract_y
_atom_site_fract_z
_atom_site_occupancy
Er1 Er 0.0000 0.0000 0.0000 1
Hf1 Hf 0.0000 0.0000 0.5000 1
Rh1 Rh 0.2500 0.2500 0.2500 1

=====

[2]
# ErHfRh | Alexandria via LeMat-Bulk | PBE-GGA | optimized geometry
# * energy relative to the elements: -0.51 eV/atom
# * DOS at the Fermi energy: 1.167 states/eV per atom
data_ErHfRh
_chemical_formula_sum 'Er2 Hf2 Rh2'
_space_group_name_H-M_alt 'I 4 m m'
_space_group_IT_number 107
_space_group_name_Hall 'I 4 -2'
_cell_length_a 3.3712
_cell_length_b 3.3712
_cell_length_c 11.2336
_cell_angle_alpha 90.00
_cell_angle_beta 90.00
_cell_angle_gamma 90.00
loop_
_atom_site_label
_atom_site_type_symbol
_atom_site_fract_x
_atom_site_fract_y
_atom_site_fract_z
_atom_site_occupancy
Er1 Er 0.0000 0.0000 0.0000 1
Hf1 Hf 0.0000 0.0000 0.2899 1
Rh1 Rh 0.0000 0.0000 0.6679 1

=====

[3]
# Er3HfRh4 | Alexandria via LeMat-Bulk | PBE-GGA | optimized geometry
# * energy relative to the elements: -0.93 eV/atom
# * DOS at the Fermi energy: 0.490 states/eV per atom
data_Er3HfRh4
_chemical_formula_sum 'Er3 Hf1 Rh4'
_space_group_name_H-M_alt 'P 4/m m m'
_space_group_IT_number 123
_space_group_name_Hall '-P 4 2'
_cell_length_a 3.3200
_cell_length_b 3.3200
_cell_length_c 13.8318
_cell_angle_alpha 90.00
_cell_angle_beta 90.00
_cell_angle_gamma 90.00
loop_
_atom_site_label
_atom_site_type_symbol
_atom_site_fract_x
_atom_site_fract_y
_atom_site_fract_z
_atom_site_occupancy
Er1 Er 0.0000 0.0000 0.0000 1
Er2 Er 0.0000 0.0000 0.2533 1
Hf1 Hf 0.0000 0.0000 0.5000 1
Rh1 Rh 0.5000 0.5000 0.1282 1
Rh2 Rh 0.5000 0.5000 0.3889 1

=====

[4]
# ErHfTcRh | Alexandria via LeMat-Bulk | PBE-GGA | optimized geometry
# * energy relative to the elements: -0.58 eV/atom
# * DOS at the Fermi energy: 0.660 states/eV per atom
data_ErHfTcRh
_chemical_formula_sum 'Er4 Hf4 Tc4 Rh4'
_space_group_name_H-M_alt 'F -4 3 m'
_space_group_IT_number 216
_space_group_name_Hall 'F -4 2 3'
_cell_length_a 6.6353
_cell_length_b 6.6353
_cell_length_c 6.6353
_cell_angle_alpha 90.00
_cell_angle_beta 90.00
_cell_angle_gamma 90.00
loop_
_atom_site_label
_atom_site_type_symbol
_atom_site_fract_x
_atom_site_fract_y
_atom_site_fract_z
_atom_site_occupancy
Er1 Er 0.0000 0.0000 0.0000 1
Hf1 Hf 0.0000 0.0000 0.5000 1
Tc1 Tc 0.2500 0.2500 0.7500 1
Rh1 Rh 0.2500 0.2500 0.2500 1

=====

[5]
# ErHf5Ru6 | Alexandria via LeMat-Bulk | PBE-GGA | optimized geometry
# * energy relative to the elements: -0.76 eV/atom
# * DOS at the Fermi energy: 0.237 states/eV per atom
data_ErHf5Ru6
_chemical_formula_sum 'Er2 Hf10 Ru12'
_space_group_name_H-M_alt 'C m m m'
_space_group_IT_number 65
_space_group_name_Hall '-C 2 2'
_cell_length_a 4.6098
_cell_length_b 13.8651
_cell_length_c 6.5260
_cell_angle_alpha 90.00
_cell_angle_beta 90.00
_cell_angle_gamma 90.00
loop_
_atom_site_label
_atom_site_type_symbol
_atom_site_fract_x
_atom_site_fract_y
_atom_site_fract_z
_atom_site_occupancy
Er1 Er 0.0000 0.0000 0.0000 1
Hf1 Hf 0.0000 0.0000 0.5000 1
Hf2 Hf 0.0000 0.3325 0.0000 1
Hf3 Hf 0.0000 0.3334 0.5000 1
Ru1 Ru 0.0000 0.1696 0.2532 1
Ru2 Ru 0.0000 0.5000 0.2574 1

=====

[6]
# ErHfRu2 | Alexandria via LeMat-Bulk | PBE-GGA | optimized geometry
# * energy relative to the elements: -0.61 eV/atom
# * DOS at the Fermi energy: 0.550 states/eV per atom
data_ErHfRu2
_chemical_formula_sum 'Er4 Hf4 Ru8'
_space_group_name_H-M_alt 'F m -3 m'
_space_group_IT_number 225
_space_group_name_Hall '-F 4 2 3'
_cell_length_a 6.5996
_cell_length_b 6.5996
_cell_length_c 6.5996
_cell_angle_alpha 90.00
_cell_angle_beta 90.00
_cell_angle_gamma 90.00
loop_
_atom_site_label
_atom_site_type_symbol
_atom_site_fract_x
_atom_site_fract_y
_atom_site_fract_z
_atom_site_occupancy
Er1 Er 0.0000 0.0000 0.0000 1
Hf1 Hf 0.0000 0.0000 0.5000 1
Ru1 Ru 0.2500 0.2500 0.2500 1

=====

[7]
# Er2HfRu3 | Alexandria via LeMat-Bulk | PBE-GGA | optimized geometry
# * energy relative to the elements: -0.53 eV/atom
# * DOS at the Fermi energy: 0.778 states/eV per atom
data_Er2HfRu3
_chemical_formula_sum 'Er4 Hf2 Ru6'
_space_group_name_H-M_alt 'P -3 m 1'
_space_group_IT_number 164
_space_group_name_Hall '-P 3 2"'
_cell_length_a 4.6886
_cell_length_b 4.6886
_cell_length_c 11.5617
_cell_angle_alpha 90.00
_cell_angle_beta 90.00
_cell_angle_gamma 120.00
loop_
_atom_site_label
_atom_site_type_symbol
_atom_site_fract_x
_atom_site_fract_y
_atom_site_fract_z
_atom_site_occupancy
Er1 Er 0.0000 0.0000 0.0000 1
Er2 Er 0.0000 0.0000 0.5000 1
Er3 Er 0.3333 0.6667 0.1691 1
Hf1 Hf 0.3333 0.6667 0.6649 1
Ru1 Ru 0.0000 0.0000 0.2578 1
Ru2 Ru 0.3333 0.6667 0.4177 1
Ru3 Ru 0.3333 0.6667 0.9080 1

=====

[8]
# Er5HfRu6 | Alexandria via LeMat-Bulk | PBE-GGA | optimized geometry
# * energy relative to the elements: -0.46 eV/atom
# * DOS at the Fermi energy: 0.952 states/eV per atom
data_Er5HfRu6
_chemical_formula_sum 'Er10 Hf2 Ru12'
_space_group_name_H-M_alt 'C m m m'
_space_group_IT_number 65
_space_group_name_Hall '-C 2 2'
_cell_length_a 4.7271
_cell_length_b 14.1692
_cell_length_c 6.7162
_cell_angle_alpha 90.00
_cell_angle_beta 90.00
_cell_angle_gamma 90.00
loop_
_atom_site_label
_atom_site_type_symbol
_atom_site_fract_x
_atom_site_fract_y
_atom_site_fract_z
_atom_site_occupancy
Er1 Er 0.0000 0.0000 0.0000 1
Er2 Er 0.0000 0.3337 0.0000 1
Er3 Er 0.0000 0.3336 0.5000 1
Hf1 Hf 0.0000 0.0000 0.5000 1
Ru1 Ru 0.0000 0.1618 0.2555 1
Ru2 Ru 0.0000 0.5000 0.2607 1

=====

[9]
# ErHfRu2 | Alexandria via LeMat-Bulk | PBE-GGA | optimized geometry
# * energy relative to the elements: -0.63 eV/atom
# * DOS at the Fermi energy: 0.623 states/eV per atom
data_ErHfRu2
_chemical_formula_sum 'Er1 Hf1 Ru2'
_space_group_name_H-M_alt 'P 4/m m m'
_space_group_IT_number 123
_space_group_name_Hall '-P 4 2'
_cell_length_a 3.2886
_cell_length_b 3.2886
_cell_length_c 6.6676
_cell_angle_alpha 90.00
_cell_angle_beta 90.00
_cell_angle_gamma 90.00
loop_
_atom_site_label
_atom_site_type_symbol
_atom_site_fract_x
_atom_site_fract_y
_atom_site_fract_z
_atom_site_occupancy
Er1 Er 0.0000 0.0000 0.0000 1
Hf1 Hf 0.0000 0.0000 0.5000 1
Ru1 Ru 0.5000 0.5000 0.2670 1

=====

[10]
# ErHfRu4 | Alexandria via LeMat-Bulk | PBE-GGA | optimized geometry
# * energy relative to the elements: -0.33 eV/atom
# * DOS at the Fermi energy: 0.897 states/eV per atom
data_ErHfRu4
_chemical_formula_sum 'Er4 Hf4 Ru16'
_space_group_name_H-M_alt 'F -4 3 m'
_space_group_IT_number 216
_space_group_name_Hall 'F -4 2 3'
_cell_length_a 7.4211
_cell_length_b 7.4211
_cell_length_c 7.4211
_cell_angle_alpha 90.00
_cell_angle_beta 90.00
_cell_angle_gamma 90.00
loop_
_atom_site_label
_atom_site_type_symbol
_atom_site_fract_x
_atom_site_fract_y
_atom_site_fract_z
_atom_site_occupancy
Er1 Er 0.0000 0.0000 0.0000 1
Hf1 Hf 0.2500 0.2500 0.7500 1
Ru1 Ru 0.1247 0.1247 0.3753 1

=====

[11]
# ErHfTcRu | Alexandria via LeMat-Bulk | PBE-GGA | optimized geometry
# * energy relative to the elements: -0.35 eV/atom
# * DOS at the Fermi energy: 1.423 states/eV per atom
data_ErHfTcRu
_chemical_formula_sum 'Er4 Hf4 Tc4 Ru4'
_space_group_name_H-M_alt 'F -4 3 m'
_space_group_IT_number 216
_space_group_name_Hall 'F -4 2 3'
_cell_length_a 6.6241
_cell_length_b 6.6241
_cell_length_c 6.6241
_cell_angle_alpha 90.00
_cell_angle_beta 90.00
_cell_angle_gamma 90.00
loop_
_atom_site_label
_atom_site_type_symbol
_atom_site_fract_x
_atom_site_fract_y
_atom_site_fract_z
_atom_site_occupancy
Er1 Er 0.0000 0.0000 0.0000 1
Hf1 Hf 0.0000 0.0000 0.5000 1
Tc1 Tc 0.2500 0.2500 0.7500 1
Ru1 Ru 0.2500 0.2500 0.2500 1

=====

[12]
# Er2HfU2Ru5 | Alexandria via LeMat-Bulk | PBE-GGA | optimized geometry
# * energy relative to the elements: -0.31 eV/atom
# * DOS at the Fermi energy: 0.754 states/eV per atom
data_Er2HfU2Ru5
_chemical_formula_sum 'Er4 Hf2 U4 Ru10'
_space_group_name_H-M_alt 'P 4/m b m'
_space_group_IT_number 127
_space_group_name_Hall '-P 4 2ab'
_cell_length_a 10.4572
_cell_length_b 10.4572
_cell_length_c 3.5166
_cell_angle_alpha 90.00
_cell_angle_beta 90.00
_cell_angle_gamma 90.00
loop_
_atom_site_label
_atom_site_type_symbol
_atom_site_fract_x
_atom_site_fract_y
_atom_site_fract_z
_atom_site_occupancy
Er1 Er 0.1732 0.3268 0.0000 1
Hf1 Hf 0.0000 0.0000 0.0000 1
U1 U 0.1383 0.6383 0.0000 1
Ru1 Ru 0.0000 0.5000 0.5000 1
Ru2 Ru 0.0510 0.7967 0.5000 1

=====

[13]
# ErHfS | Alexandria via LeMat-Bulk | PBE-GGA | optimized geometry
# * DOS at the Fermi energy: 0.841 states/eV per atom
# * relative energy among the computed polymorphs: 0.000 eV per atom
# * formation energy (no corrections): -61 kJ per mole of atoms
data_ErHfS
_chemical_formula_sum 'Er4 Hf4 S4'
_space_group_name_H-M_alt 'I m m m'
_space_group_IT_number 71
_space_group_name_Hall '-I 2 2'
_cell_length_a 3.4027
_cell_length_b 5.1783
_cell_length_c 15.2842
_cell_angle_alpha 90.00
_cell_angle_beta 90.00
_cell_angle_gamma 90.00
loop_
_atom_site_label
_atom_site_type_symbol
_atom_site_fract_x
_atom_site_fract_y
_atom_site_fract_z
_atom_site_occupancy
Er1 Er 0.0000 0.0000 0.1686 1
Hf1 Hf 0.0000 0.2502 0.5000 1
S1 S 0.0000 0.0000 0.3432 1

=====

[14]
# ErHfS | Alexandria via LeMat-Bulk | PBE-GGA | optimized geometry
# * DOS at the Fermi energy: 0.753 states/eV per atom
# * relative energy among the computed polymorphs: 0.146 eV per atom
# * formation energy (no corrections): -47 kJ per mole of atoms
data_ErHfS
_chemical_formula_sum 'Er1 Hf1 S1'
_space_group_name_H-M_alt 'P 3 m 1'
_space_group_IT_number 156
_space_group_name_Hall 'P 3 -2"'
_cell_length_a 4.4714
_cell_length_b 4.4714
_cell_length_c 3.7961
_cell_angle_alpha 90.00
_cell_angle_beta 90.00
_cell_angle_gamma 120.00
loop_
_atom_site_label
_atom_site_type_symbol
_atom_site_fract_x
_atom_site_fract_y
_atom_site_fract_z
_atom_site_occupancy
Er1 Er 0.0000 0.0000 0.0000 1
Hf1 Hf 0.3333 0.6667 0.5004 1
S1 S 0.6667 0.3333 0.5014 1

=====

[15]
# Er2HfS5 | Alexandria via LeMat-Bulk | PBE-GGA | optimized geometry
# * relative energy among the computed polymorphs: 0.000 eV per atom
# * formation energy (no corrections): -180 kJ per mole of atoms
data_Er2HfS5
_chemical_formula_sum 'Er8 Hf4 S20'
_space_group_name_H-M_alt 'P n m a'
_space_group_IT_number 62
_space_group_name_Hall '-P 2ac 2n'
_cell_length_a 11.5232
_cell_length_b 7.6789
_cell_length_c 7.2224
_cell_angle_alpha 90.00
_cell_angle_beta 90.00
_cell_angle_gamma 90.00
loop_
_atom_site_label
_atom_site_type_symbol
_atom_site_fract_x
_atom_site_fract_y
_atom_site_fract_z
_atom_site_occupancy
Er1 Er 0.1795 0.0031 0.0193 1
Hf1 Hf 0.0054 0.7500 0.5766 1
S1 S 0.0031 0.7500 0.9480 1
S2 S 0.0954 0.0366 0.6597 1
S3 S 0.1806 0.7500 0.3301 1
S4 S 0.2076 0.2500 0.3080 1

=====

[16]
# Er2Hf2S7 | Alexandria via LeMat-Bulk | PBE-GGA | optimized geometry
# * DOS at the Fermi energy: 0.031 states/eV per atom
# * formation energy (no corrections): -159 kJ per mole of atoms
data_Er2Hf2S7
_chemical_formula_sum 'Er4 Hf4 S14'
_space_group_name_H-M_alt 'I m m 2'
_space_group_IT_number 44
_space_group_name_Hall 'I 2 -2'
_cell_length_a 3.7280
_cell_length_b 13.8999
_cell_length_c 8.2060
_cell_angle_alpha 90.00
_cell_angle_beta 90.00
_cell_angle_gamma 90.00
loop_
_atom_site_label
_atom_site_type_symbol
_atom_site_fract_x
_atom_site_fract_y
_atom_site_fract_z
_atom_site_occupancy
Er1 Er 0.0000 0.0000 0.0000 1
Er2 Er 0.0000 0.5000 0.0323 1
Hf1 Hf 0.0000 0.2553 0.7996 1
S1 S 0.0000 0.1488 0.4923 1
S2 S 0.0000 0.1868 0.1067 1
S3 S 0.0000 0.3860 0.3146 1
S4 S 0.0000 0.5000 0.7235 1

=====

[17]
# Er2HfS5 | Alexandria via LeMat-Bulk | PBE-GGA | optimized geometry
# * DOS at the Fermi energy: 0.000 states/eV per atom
# * relative energy among the computed polymorphs: 0.036 eV per atom
# * formation energy (no corrections): -177 kJ per mole of atoms
data_Er2HfS5
_chemical_formula_sum 'Er8 Hf4 S20'
_space_group_name_H-M_alt 'C m c m'
_space_group_IT_number 63
_space_group_name_Hall '-C 2c 2'
_cell_length_a 5.1627
_cell_length_b 12.9920
_cell_length_c 12.6718
_cell_angle_alpha 90.00
_cell_angle_beta 90.00
_cell_angle_gamma 90.00
loop_
_atom_site_label
_atom_site_type_symbol
_atom_site_fract_x
_atom_site_fract_y
_atom_site_fract_z
_atom_site_occupancy
Er1 Er 0.0000 0.1456 0.0605 1
Hf1 Hf 0.0000 0.1914 0.7500 1
S1 S 0.0000 0.0484 0.6228 1
S2 S 0.0000 0.2622 0.2500 1
S3 S 0.0000 0.3093 0.5829 1

=====

[18]
# Er2HfS5 | Alexandria via LeMat-Bulk | PBE-GGA | optimized geometry
# * DOS at the Fermi energy: 0.220 states/eV per atom
# * relative energy among the computed polymorphs: 0.353 eV per atom
# * formation energy (no corrections): -146 kJ per mole of atoms
data_Er2HfS5
_chemical_formula_sum 'Er8 Hf4 S20'
_space_group_name_H-M_alt 'F m m m'
_space_group_IT_number 69
_space_group_name_Hall '-F 2 2'
_cell_length_a 5.1894
_cell_length_b 8.8724
_cell_length_c 14.2196
_cell_angle_alpha 90.00
_cell_angle_beta 90.00
_cell_angle_gamma 90.00
loop_
_atom_site_label
_atom_site_type_symbol
_atom_site_fract_x
_atom_site_fract_y
_atom_site_fract_z
_atom_site_occupancy
Er1 Er 0.0000 0.0000 0.1793 1
Hf1 Hf 0.0000 0.0000 0.5000 1
S1 S 0.0000 0.0000 0.0000 1
S2 S 0.0000 0.1658 0.3504 1

=====

[19]
# ErHfS3 | Alexandria via LeMat-Bulk | PBE-GGA | optimized geometry
# * DOS at the Fermi energy: 0.425 states/eV per atom
# * formation energy (no corrections): -157 kJ per mole of atoms
data_ErHfS3
_chemical_formula_sum 'Er4 Hf4 S12'
_space_group_name_H-M_alt 'C m c m'
_space_group_IT_number 63
_space_group_name_Hall '-C 2c 2'
_cell_length_a 5.0182
_cell_length_b 5.0186
_cell_length_c 16.2073
_cell_angle_alpha 90.00
_cell_angle_beta 90.00
_cell_angle_gamma 90.00
loop_
_atom_site_label
_atom_site_type_symbol
_atom_site_fract_x
_atom_site_fract_y
_atom_site_fract_z
_atom_site_occupancy
Er1 Er 0.0000 0.0000 0.0000 1
Hf1 Hf 0.0000 0.4986 0.2500 1
S1 S 0.0000 0.0013 0.7500 1
S2 S 0.0000 0.4995 0.0906 1

=====

[20]
# Er2HfTl3S6 | Alexandria via LeMat-Bulk | PBE-GGA | optimized geometry
# * DOS at the Fermi energy: 0.313 states/eV per atom
# * formation energy (no corrections): -130 kJ per mole of atoms
data_Er2HfTl3S6
_chemical_formula_sum 'Er4 Hf2 Tl6 S12'
_space_group_name_H-M_alt 'C 1 2/m 1'
_space_group_IT_number 12
_space_group_name_Hall '-C 2y'
_cell_length_a 6.6567
_cell_length_b 11.5402
_cell_length_c 8.4399
_cell_angle_alpha 90.00
_cell_angle_beta 105.87
_cell_angle_gamma 90.00
loop_
_atom_site_label
_atom_site_type_symbol
_atom_site_fract_x
_atom_site_fract_y
_atom_site_fract_z
_atom_site_occupancy
Er1 Er 0.0000 0.1668 0.0000 1
Hf1 Hf 0.0000 0.5000 0.0000 1
Tl1 Tl 0.0000 0.0000 0.5000 1
Tl2 Tl 0.0000 0.3358 0.5000 1
S1 S 0.2207 0.3418 0.1807 1
S2 S 0.2460 0.0000 0.1807 1

=====

| no. | DFT total energy (eV per atom) |
| --- | --- |
| 1 | -8.18 |
| 2 | -7.80 |
| 3 | -7.56 |
| 4 | -8.64 |
| 5 | -9.92 |
| 6 | -8.87 |
| 7 | -8.35 |
| 8 | -7.83 |
| 9 | -8.90 |
| 10 | -8.94 |
| 11 | -8.89 |
| 12 | -9.11 |
| 13 | -6.85 |
| 14 | -6.70 |
| 15 | -6.83 |
| 16 | -6.91 |
| 17 | -6.79 |
| 18 | -6.48 |
| 19 | -7.00 |
| 20 | -5.60 |